1.
! BeGaOs (GGA-PBE, relaxed); values from VASP
&SYSTEM
  ibrav = 0, nat = 3, ntyp = 3
/
ATOMIC_SPECIES
Ga 69.72 Ga.upf
Be 9.01 Be.upf
Os 190.23 Os.upf
CELL_PARAMETERS angstrom
0.000 2.834 2.834
2.834 0.000 2.834
2.834 2.834 0.000
ATOMIC_POSITIONS crystal
Ga 0.750 0.750 0.750
Be 0.250 0.250 0.250
Os 0.000 0.000 0.000
! Volume ... 15.18 A^3/atom
! Magnetization ... 0.0002 μB per atom
! VASP energy ... -5.584 eV/atom

2.
! LaPr2Zn2Si4Au2 (GGA-PBE, relaxed); values from VASP
&SYSTEM
  ibrav = 0, nat = 11, ntyp = 5
/
ATOMIC_SPECIES
Zn 65.41 Zn.upf
Si 28.09 Si.upf
Pr 140.91 Pr.upf
La 138.91 La.upf
Au 196.97 Au.upf
CELL_PARAMETERS angstrom
-2.125 2.151 12.614
2.125 -2.151 12.614
2.125 2.151 -12.614
ATOMIC_POSITIONS crystal
Zn 0.750 0.750 0.000
Si 0.453 0.453 0.000
Si 0.806 0.306 0.500
Si 0.547 0.547 0.000
Pr 0.352 0.852 0.500
Zn 0.250 0.250 0.000
Pr 0.648 0.148 0.500
La 0.000 0.000 0.000
Si 0.194 0.694 0.500
Au 0.096 0.596 0.500
Au 0.904 0.404 0.500
! Volume ... 20.97 A^3/atom
! Magnetization ... 0.0006 μB per atom
! VASP energy ... -4.787 eV/atom

3.
! TbY2Al3Si2Ir (GGA-PBE, relaxed); values from VASP
&SYSTEM
  ibrav = 0, nat = 9, ntyp = 5
/
ATOMIC_SPECIES
Si 28.09 Si.upf
Tb 158.93 Tb.upf
Al 26.98 Al.upf
Y 88.91 Y.upf
Ir 192.22 Ir.upf
CELL_PARAMETERS angstrom
-0.490 -0.855 -4.104
-6.658 -1.565 1.122
1.819 6.500 -1.571
ATOMIC_POSITIONS crystal
Si 0.500 0.333 0.667
Tb 0.000 0.584 0.584
Al 0.500 0.767 0.000
Y 0.000 0.416 0.000
Ir 0.000 0.000 0.000
Y 0.000 0.000 0.416
Al 0.500 0.232 0.232
Al 0.500 0.000 0.767
Si 0.500 0.667 0.333
! Volume ... 19.50 A^3/atom
! Magnetization ... 0.0007 μB per atom
! VASP energy ... -6.252 eV/atom

4.
! Pu2InTc (GGA-PBE, relaxed); values from VASP
&SYSTEM
  ibrav = 0, nat = 4, ntyp = 3
/
ATOMIC_SPECIES
In 114.82 In.upf
Pu 244.00 Pu.upf
Tc 98.00 Tc.upf
CELL_PARAMETERS angstrom
-2.494 -0.646 -1.911
1.862 -1.906 -1.786
-2.111 -6.796 5.052
ATOMIC_POSITIONS crystal
In 0.000 0.000 0.500
Pu 0.500 0.500 0.208
Tc 0.000 0.000 0.000
Pu 0.500 0.500 0.792
! Volume ... 22.45 A^3/atom
! Magnetization ... 2.3978 μB per atom
! VASP energy ... -10.529 eV/atom

5.
! Dy2F (GGA-PBE, relaxed); values from VASP
&SYSTEM
  ibrav = 0, nat = 6, ntyp = 2
/
ATOMIC_SPECIES
Dy 162.50 Dy.upf
F 19.00 F.upf
CELL_PARAMETERS angstrom
3.675 2.122 6.002
-3.675 2.122 6.002
0.000 -4.244 6.002
ATOMIC_POSITIONS crystal
Dy 0.375 0.375 0.375
F 0.250 0.250 0.250
Dy 0.875 0.375 0.375
F 0.500 0.500 0.500
Dy 0.375 0.875 0.375
Dy 0.375 0.375 0.875
! Volume ... 46.81 A^3/atom
! Magnetization ... 0.3115 μB per atom
! VASP energy ... -4.106 eV/atom

6.
! LaGdAg2Bi2P2 (GGA-PBE, relaxed); values from VASP
&SYSTEM
  ibrav = 0, nat = 8, ntyp = 5
/
ATOMIC_SPECIES
Bi 208.98 Bi.upf
Ag 107.87 Ag.upf
La 138.91 La.upf
P 30.97 P.upf
Gd 157.25 Gd.upf
CELL_PARAMETERS angstrom
-2.243 -1.078 -3.471
-0.872 -3.800 1.744
-8.718 4.015 4.387
ATOMIC_POSITIONS crystal
Bi 0.000 0.500 0.508
Ag 0.000 0.500 0.995
Ag 0.500 0.000 0.995
La 0.500 0.500 0.242
P 0.000 0.000 0.161
Bi 0.500 0.000 0.508
P 0.500 0.500 0.831
Gd 0.000 0.000 0.760
! Volume ... 24.07 A^3/atom
! Magnetization ... 0.0012 μB per atom
! VASP energy ... -4.872 eV/atom

7.
! KLu2 (GGA-PBE, relaxed); values from VASP
&SYSTEM
  ibrav = 0, nat = 6, ntyp = 2
/
ATOMIC_SPECIES
Lu 174.97 Lu.upf
K 39.10 K.upf
CELL_PARAMETERS angstrom
6.273 3.622 10.243
-6.273 3.622 10.243
0.000 -7.243 10.243
ATOMIC_POSITIONS crystal
Lu 0.875 0.875 0.875
Lu 0.875 0.875 0.375
K 0.000 0.000 0.000
Lu 0.875 0.375 0.875
Lu 0.375 0.875 0.875
K 0.750 0.750 0.750
! Volume ... 232.70 A^3/atom
! Magnetization ... 0.9601 μB per atom
! VASP energy ... -0.774 eV/atom

8.
! KSmPt (GGA-PBE, relaxed); values from VASP
&SYSTEM
  ibrav = 0, nat = 3, ntyp = 3
/
ATOMIC_SPECIES
K 39.10 K.upf
Sm 150.36 Sm.upf
Pt 195.08 Pt.upf
CELL_PARAMETERS angstrom
0.000 3.577 3.577
3.577 0.000 3.577
3.577 3.577 0.000
ATOMIC_POSITIONS crystal
K 0.250 0.250 0.250
Sm 0.750 0.750 0.750
Pt 0.000 0.000 0.000
! Volume ... 30.50 A^3/atom
! Magnetization ... 0.0002 μB per atom
! VASP energy ... -4.168 eV/atom